i) The following is a DFT calculation (PBE) of a relaxed structure of Pr3Ho4Tm4.

It has space group C2/m (No. 12), with a = 39.5624 Å, b = 3.5697 Å, c = 5.0192 Å, α = 90.00°, β = 97.28° and γ = 90.00°. Symmetry generates all atoms from Pr at (0.0000, 0.0000, 0.0000), Pr at (0.1373, 0.5000, 0.6368), Ho at (0.0463, 0.5000, 0.5460), Ho at (0.1837, 0.0000, 0.1833), Tm at (0.0909, 0.0000, 0.0905) and Tm at (0.2279, 0.5000, 0.7277).

The crystal system is monoclinic. Its magnetization is 0.000 μB/atom.

ii) The following is a DFT calculation (PBE) of a relaxed structure of Pr3Ho4Tm4.

It has space group Amm2 (No. 38), with a = 10.5862 Å, b = 5.6885 Å, c = 12.0049 Å, α = 90.00°, β = 90.00° and γ = 90.00°. Symmetry generates all atoms from Pr at (0.0000, 0.0000, 0.0000), Pr at (0.2907, 0.0000, 0.1538), Ho at (0.0000, 0.0000, 0.7017), Ho at (0.2157, 0.0000, 0.4959), Ho at (0.5000, 0.0000, 0.6349), Tm at (0.0000, 0.0000, 0.3029), Tm at (0.2967, 0.0000, 0.8488) and Tm at (0.5000, 0.0000, 0.3614).

The crystal system is orthorhombic. Its magnetization is 0.000 μB/atom.

Last place for stability: ii)

i) The following is a DFT calculation (PBE) of a relaxed structure of Pr4HoTm2.

It has space group Fdd2 (No. 43), with a = 12.0306 Å, b = 24.3947 Å, c = 6.4808 Å, α = 90.00°, β = 90.00° and γ = 90.00°. Symmetry generates all atoms from Pr at (0.0518, 0.4295, 0.0000), Pr at (0.0700, 0.3561, 0.4692), Ho at (0.0000, 0.0000, 0.0036) and Tm at (0.0243, 0.2835, 0.9451).

The crystal system is orthorhombic. Its magnetization is 0.000 μB/atom.

ii) The following is a DFT calculation (PBE) of a relaxed structure of Pr4HoTm2.

It has space group Imma (No. 74), with a = 6.9191 Å, b = 11.4787 Å, c = 12.1383 Å, α = 90.00°, β = 90.00° and γ = 90.00°. Symmetry generates all atoms from Pr at (0.0000, 0.0035, 0.1514), Pr at (0.2211, 0.2500, 0.9905), Ho at (0.2500, 0.2500, 0.2500), Tm at (0.0000, 0.0000, 0.5000) and Tm at (0.0000, 0.2500, 0.7171).

The crystal system is orthorhombic. Its magnetization is 0.000 μB/atom.

Last place for stability: ii)

i) The following is a DFT calculation (PBE) of a relaxed structure of PrHo5Tm2.

It has space group Pbam (No. 55), with a = 7.0810 Å, b = 14.1683 Å, c = 4.9900 Å, α = 90.00°, β = 90.00° and γ = 90.00°. Symmetry generates all atoms from Pr at (0.0000, 0.0000, 0.0000), Ho at (0.0000, 0.5000, 0.0000), Ho at (0.0012, 0.2514, 0.0000), Ho at (0.2481, 0.6263, 0.5000) and Tm at (0.2498, 0.3740, 0.5000).

The crystal system is orthorhombic. Its magnetization is 0.000 μB/atom.

ii) The following is a DFT calculation (PBE) of a relaxed structure of PrHo5Tm2.

It has space group C2/m (No. 12), with a = 16.2326 Å, b = 5.6156 Å, c = 11.4047 Å, α = 90.00°, β = 90.06° and γ = 90.00°. Symmetry generates all atoms from Pr at (0.2270, 0.0000, 0.2502), Ho at (0.0423, 0.0000, 0.3868), Ho at (0.0436, 0.0000, 0.1121), Ho at (0.0873, 0.5000, 0.5766), Ho at (0.0870, 0.5000, 0.9220), Ho at (0.1037, 0.5000, 0.2500), Tm at (0.2126, 0.0000, 0.5793) and Tm at (0.2129, 0.0000, 0.9204).

The crystal system is monoclinic. Its magnetization is 0.000 μB/atom.

Last place for stability: ii)